A plane-wave DFT calculation with PBE was carried out for an optimized crystal structure of RbNdAgSe2.

Cell lengths 5.0847, 8.0407, 8.4149 Å; angles 98.28, 90.00, 90.00 degrees
With the nearest neighbours (Å) after each atom.
Sites, in units of the cell vectors:
Nd (0.5061, 0.0000, 0.7500)  4 Se 2.92
Nd (0.4939, 0.0000, 0.2500)  4 Se 2.92
Rb (0.8751, 0.5000, 0.2500)  6 Se 3.60-3.64
Ag (0.0000, 0.0000, 0.0000)  2 Se 2.68
Rb (0.1249, 0.5000, 0.7500)  6 Se 3.60-3.64
Se (0.6309, 0.7593, 0.9683)  1 Ag 2.68, 2 Nd 2.92
Ag (0.0000, 0.0000, 0.5000)  2 Se 2.68
Se (0.3691, 0.2407, 0.0317)  1 Ag 2.68, 2 Nd 2.92
Se (0.3691, 0.7593, 0.4683)  1 Ag 2.68, 2 Nd 2.92
Se (0.6309, 0.2407, 0.5317)  1 Ag 2.68, 2 Nd 2.92

Values from the calculation:
formation energy from raw total energies = -1039 meV per atom
density of states at the Fermi level = 0.220 states/eV/atom
calculated total energy = -4.15 eV/atom